[1]
A plane-wave DFT calculation with PBE was carried out for LaCr2Cu after structural relaxation.

Lattice parameters (Å, degrees): 4.765 4.765 4.765 60.00 60.00 60.00
Atoms (fractional coordinates):
La1 0.000 0.000 0.000
Cr1 0.250 0.250 0.250
Cr2 0.750 0.750 0.750
Cu1 0.500 0.500 0.500

## Properties
- Calculated formation energy: 0.647 eV per atom
- DOS(E_F): 4.53 states/eV/cell
- Energy: -6.420 eV per atom
- Space-group type: Fm-3m



[2]
A plane-wave DFT calculation with PBE was carried out for NaPb6F12 after structural relaxation.

Lattice parameters (Å, degrees): 7.242 7.242 7.242 98.52 98.52 98.52
Atoms (fractional coordinates):
Na1 0.000 0.000 0.000
Pb1 0.139 0.590 0.278
Pb2 0.278 0.139 0.590
Pb3 0.410 0.722 0.861
Pb4 0.590 0.278 0.139
Pb5 0.722 0.861 0.410
Pb6 0.861 0.410 0.722
F1 0.043 0.912 0.316
F2 0.088 0.684 0.957
F3 0.178 0.462 0.610
F4 0.316 0.043 0.912
F5 0.390 0.822 0.538
F6 0.462 0.610 0.178
F7 0.538 0.390 0.822
F8 0.610 0.178 0.462
F9 0.684 0.957 0.088
F10 0.822 0.538 0.390
F11 0.912 0.316 0.043
F12 0.957 0.088 0.684

## Properties
- DOS(E_F): 3.56 states/eV/cell
- ΔE_f (raw): -43.177 eV per formula unit
- Energy: -4.695 eV per atom
- Space-group type: R-3



[3]
A plane-wave DFT calculation with PBE was carried out for RbSCl2 after structural relaxation.

Lattice parameters (Å, degrees): 5.415 5.415 5.415 60.00 60.00 60.00
Atoms (fractional coordinates):
Rb1 0.000 0.000 0.000
S1 0.500 0.500 0.500
Cl1 0.250 0.250 0.250
Cl2 0.750 0.750 0.750

## Properties
- DOS(E_F): 0.00 states/eV/cell
- ΔE_f (raw): -1.269 eV per formula unit
- Energy: -2.514 eV per atom
- Space-group type: Fm-3m



[4]
A plane-wave DFT calculation with PBE was carried out for Ba2LiCoPb after structural relaxation.

Lattice parameters (Å, degrees): 5.986 5.986 5.053 90.00 90.00 90.00
Atoms (fractional coordinates):
Ba1 0.000 0.500 0.000
Ba2 0.500 0.000 0.000
Li1 0.000 0.000 0.500
Co1 0.500 0.500 0.000
Pb1 0.500 0.500 0.500

## Properties
- Calculated formation energy: 0.041 eV per atom
- DOS(E_F): 8.01 states/eV/cell
- Energy: -3.273 eV per atom
- Space-group type: P4/mmm



[5]
A plane-wave DFT calculation with PBE was carried out for HoAlO3 after structural relaxation.

Lattice parameters (Å, degrees): 5.376 7.421 5.195 90.00 90.00 90.00
Atoms (fractional coordinates):
Ho1 0.057 0.250 0.014
Ho2 0.443 0.750 0.514
Ho3 0.557 0.250 0.486
Ho4 0.943 0.750 0.986
Al1 0.000 0.000 0.500
Al2 0.000 0.500 0.500
Al3 0.500 0.000 0.000
Al4 0.500 0.500 0.000
O1 0.025 0.750 0.410
O2 0.204 0.547 0.796
O3 0.204 0.953 0.796
O4 0.296 0.047 0.296
O5 0.296 0.453 0.296
O6 0.475 0.250 0.910
O7 0.525 0.750 0.090
O8 0.704 0.547 0.704
O9 0.704 0.953 0.704
O10 0.796 0.047 0.204
O11 0.796 0.453 0.204
O12 0.975 0.250 0.590

## Properties
- DOS(E_F): 0.00 states/eV/cell
- ΔE_f (raw): -16.691 eV per formula unit
- Energy: -7.977 eV per atom
- Space-group type: Pnma



[6]
A plane-wave DFT calculation with PBE was carried out for Tb2Nd2Y7 after structural relaxation.

Lattice parameters (Å, degrees): 8.112 8.112 6.086 105.81 105.81 92.13
Atoms (fractional coordinates):
Tb1 0.233 0.233 0.085
Tb2 0.767 0.767 0.915
Nd1 0.212 0.788 0.000
Nd2 0.788 0.212 0.000
Y1 0.000 0.000 0.500
Y2 0.065 0.589 0.324
Y3 0.408 0.408 0.694
Y4 0.411 0.935 0.676
Y5 0.589 0.065 0.324
Y6 0.592 0.592 0.306
Y7 0.935 0.411 0.676

## Properties
- Calculated formation energy: 0.156 eV per atom
- DOS(E_F): 17.93 states/eV/cell
- Energy: -5.666 eV per atom
- Space-group type: C2/m



[7]
A plane-wave DFT calculation with PBE was carried out for AlZn2Ni after structural relaxation.

Lattice parameters (Å, degrees): 2.787 2.787 7.219 90.00 90.00 90.00
Atoms (fractional coordinates):
Al1 0.000 0.000 0.000
Zn1 0.500 0.500 0.279
Zn2 0.500 0.500 0.721
Ni1 0.000 0.000 0.500

## Properties
- Calculated formation energy: -0.080 eV per atom
- DOS(E_F): 1.76 states/eV/cell
- Energy: -3.098 eV per atom
- Space-group type: P4/mmm



[8]
A plane-wave DFT calculation with PBE was carried out for Ba2TlSbS4 after structural relaxation.

Lattice parameters (Å, degrees): 8.780 8.780 8.780 120.01 119.80 90.16
Atoms (fractional coordinates):
Ba1 0.000 0.000 0.000
Ba2 0.500 0.000 0.000
Ba3 0.500 0.000 0.500
Ba4 0.500 0.500 0.500
Tl1 0.000 0.500 0.500
Tl2 0.500 0.500 0.000
Sb1 0.000 0.000 0.500
Sb2 0.000 0.500 0.000
S1 0.224 0.248 0.976
S2 0.227 0.221 0.494
S3 0.227 0.733 0.006
S4 0.228 0.752 0.476
S5 0.772 0.248 0.524
S6 0.773 0.267 0.994
S7 0.773 0.779 0.506
S8 0.776 0.752 0.024

## Properties
- ΔE_f (raw): -8.504 eV per formula unit
- Energy: -4.418 eV per atom
- Space-group type: Imma



[9]
A plane-wave DFT calculation with PBE was carried out for TcPH2 after structural relaxation.

Lattice parameters (Å, degrees): 4.393 4.393 6.115 110.65 110.65 41.09
Atoms (fractional coordinates):
Tc1 0.000 0.000 0.000
Tc2 0.007 0.007 0.503
P1 0.249 0.249 0.873
P2 0.667 0.667 0.350
H1 0.394 0.394 0.450
H2 0.554 0.554 0.891
H3 0.881 0.881 0.190
H4 0.888 0.888 0.694

## Properties
- DOS(E_F): 0.49 states/eV/cell
- Energy: -5.737 eV per atom
- Space-group type: Cm



[10]
A plane-wave DFT calculation with PBE was carried out for KLi2Al2 after structural relaxation.

Lattice parameters (Å, degrees): 6.051 6.051 6.051 129.52 129.52 74.18
Atoms (fractional coordinates):
K1 0.000 0.000 0.000
Li1 0.250 0.750 0.500
Li2 0.750 0.250 0.500
Al1 0.366 0.366 0.000
Al2 0.634 0.634 0.000

## Properties
- Calculated formation energy: 0.188 eV per atom
- DOS(E_F): 2.64 states/eV/cell
- Energy: -2.294 eV per atom
- Space-group type: I4/mmm



[11]
A plane-wave DFT calculation with PBE was carried out for Tb2SiGePd6 after structural relaxation.

Lattice parameters (Å, degrees): 5.464 6.364 6.450 83.04 65.07 64.80
Atoms (fractional coordinates):
Tb1 0.247 0.251 0.254
Tb2 0.753 0.749 0.746
Si1 0.000 0.000 0.000
Ge1 0.500 0.500 0.500
Pd1 0.197 0.809 0.296
Pd2 0.246 0.589 0.916
Pd3 0.302 0.189 0.704
Pd4 0.698 0.811 0.296
Pd5 0.754 0.411 0.084
Pd6 0.803 0.191 0.704

## Properties
- DOS(E_F): 4.54 states/eV/cell
- ΔE_f (raw): -7.342 eV per formula unit
- Energy: -5.780 eV per atom
- Space-group type: P-1



[12]
A plane-wave DFT calculation with PBE was carried out for KSr2Cr2 after structural relaxation.

Lattice parameters (Å, degrees): 13.477 13.477 13.477 165.35 165.35 20.78
Atoms (fractional coordinates):
K1 0.000 0.000 0.000
Sr1 0.354 0.354 0.000
Sr2 0.646 0.646 0.000
Cr1 0.250 0.750 0.500
Cr2 0.750 0.250 0.500

## Properties
- Calculated formation energy: 0.788 eV per atom
- DOS(E_F): 6.68 states/eV/cell
- Energy: -3.953 eV per atom
- Space-group type: I4/mmm



[13]
A plane-wave DFT calculation with PBE was carried out for KMnSi2Rh after structural relaxation.

Lattice parameters (Å, degrees): 4.656 4.656 5.083 90.00 90.00 90.00
Atoms (fractional coordinates):
K1 0.000 0.000 0.000
Mn1 0.500 0.500 0.000
Si1 0.000 0.500 0.500
Si2 0.500 0.000 0.500
Rh1 0.500 0.500 0.500

## Properties
- DOS(E_F): 4.75 states/eV/cell
- ΔE_f (raw): 1.419 eV per formula unit
- Energy: -5.409 eV per atom
- Space-group type: P4/mmm



[14]
A plane-wave DFT calculation with PBE was carried out for AcTb3Tm7 after structural relaxation.

Lattice parameters (Å, degrees): 7.035 7.035 8.636 90.00 90.00 120.00
Atoms (fractional coordinates):
Ac1 0.000 0.000 0.000
Tb1 0.168 0.337 0.660
Tb2 0.168 0.832 0.660
Tb3 0.663 0.832 0.660
Tm1 0.002 0.501 0.003
Tm2 0.333 0.667 0.329
Tm3 0.334 0.167 0.332
Tm4 0.499 0.501 0.003
Tm5 0.499 0.998 0.003
Tm6 0.833 0.167 0.332
Tm7 0.833 0.666 0.332

## Properties
- Calculated formation energy: 0.221 eV per atom
- DOS(E_F): 17.47 states/eV/cell
- Energy: -4.261 eV per atom
- Space-group type: P3m1



[15]
A plane-wave DFT calculation with PBE was carried out for La3PmSmEr after structural relaxation.

Lattice parameters (Å, degrees): 10.897 10.897 6.837 91.01 91.01 31.47
Atoms (fractional coordinates):
La1 0.016 0.016 0.255
La2 0.281 0.281 0.223
La3 0.340 0.340 0.739
La4 0.660 0.660 0.261
La5 0.719 0.719 0.777
La6 0.984 0.984 0.745
Pm1 0.149 0.149 0.526
Pm2 0.851 0.851 0.474
Sm1 0.440 0.440 0.238
Sm2 0.560 0.560 0.762
Er1 0.141 0.141 0.984
Er2 0.859 0.859 0.016

## Properties
- Calculated formation energy: 0.153 eV per atom
- DOS(E_F): 16.62 states/eV/cell
- Energy: -4.649 eV per atom
- Space-group type: C2/m



[16]
A plane-wave DFT calculation with PBE was carried out for Zr2AgHPt after structural relaxation.

Lattice parameters (Å, degrees): 4.343 4.343 4.160 90.00 90.00 90.00
Atoms (fractional coordinates):
Zr1 0.000 0.500 0.000
Zr2 0.500 0.000 0.000
Ag1 0.000 0.000 0.500
H1 0.000 0.000 0.000
Pt1 0.500 0.500 0.500

## Properties
- DOS(E_F): 4.44 states/eV/cell
- Energy: -6.287 eV per atom
- Space-group type: P4/mmm



[17]
A plane-wave DFT calculation with PBE was carried out for BaZnNi after structural relaxation.

Lattice parameters (Å, degrees): 6.242 6.242 6.702 115.66 115.66 39.93
Atoms (fractional coordinates):
Ba1 0.000 0.000 0.000
Ba2 0.192 0.192 0.608
Zn1 0.357 0.357 0.262
Zn2 0.722 0.722 0.050
Ni1 0.508 0.508 0.667
Ni2 0.889 0.889 0.461

## Properties
- Calculated formation energy: -0.069 eV per atom
- DOS(E_F): 5.08 states/eV/cell
- Energy: -3.062 eV per atom
- Space-group type: Cm



[18]
A plane-wave DFT calculation with PBE was carried out for PmGdInHg after structural relaxation.

Lattice parameters (Å, degrees): 5.387 5.387 5.387 60.00 60.00 60.00
Atoms (fractional coordinates):
Pm1 0.000 0.000 0.000
Gd1 0.500 0.500 0.500
In1 0.250 0.250 0.250
Hg1 0.750 0.750 0.750

## Properties
- Calculated formation energy: -0.493 eV per atom
- DOS(E_F): 4.03 states/eV/cell
- Energy: -5.961 eV per atom
- Space-group type: F-43m



[19]
A plane-wave DFT calculation with PBE was carried out for V2PbCl6 after structural relaxation.

Lattice parameters (Å, degrees): 6.468 6.468 6.264 90.00 90.00 120.00
Atoms (fractional coordinates):
V1 0.333 0.667 0.000
V2 0.667 0.333 0.000
Pb1 0.000 0.000 0.500
Cl1 0.000 0.369 0.223
Cl2 0.000 0.631 0.777
Cl3 0.369 0.000 0.223
Cl4 0.369 0.369 0.777
Cl5 0.631 0.000 0.777
Cl6 0.631 0.631 0.223

## Properties
- ΔE_f (raw): -10.150 eV per formula unit
- Energy: -4.797 eV per atom
- Space-group type: P-31m



[20]
A plane-wave DFT calculation with PBE was carried out for SrPm3Si after structural relaxation.

Lattice parameters (Å, degrees): 5.752 5.752 5.752 90.00 90.00 90.00
Atoms (fractional coordinates):
Sr1 0.000 0.000 0.000
Pm1 0.000 0.500 0.500
Pm2 0.500 0.000 0.500
Pm3 0.500 0.500 0.000
Si1 0.500 0.500 0.500

## Properties
- DOS(E_F): 9.92 states/eV/cell
- ΔE_f (raw): -0.237 eV per formula unit
- Energy: -4.319 eV per atom
- Space-group type: Pm-3m